First-principles (SCAN) data for a crystal of Sc2SbP relaxed with PBEsol, as listed in Alexandria.

Structure (POSCAR):
```
Sc2SbP
1.0
-0.8689 3.2042 -0.1031
-1.9856 -1.5105 -2.1928
-5.0456 -1.1947 5.3918
Sc Sb P
2 1 1
Direct
0.0000 0.0000 0.2829
0.0000 0.0000 0.7171
0.5000 0.5000 0.0000
0.5000 0.5000 0.5000
```

E_form (uncorrected): -0.97 eV/atom
magnetic moment: 0.000 μB per formula unit


First-principles (SCAN) data for a crystal of H2PtPbI6O19 relaxed with PBEsol, as listed in Alexandria.

Structure (POSCAR):
```
H2PtPbI6O19
1.0
7.5177 -0.0628 0.0517
-1.0567 7.3389 -0.0586
-0.9036 -1.0695 7.3027
H O I Pb Pt
2 19 6 1 1
Direct
0.6789 0.5477 0.5192
0.5569 0.5130 0.6796
0.6178 0.6103 0.6160
0.3544 0.8498 0.4462
0.4723 0.3728 0.8375
0.0730 0.6932 0.6592
0.8322 0.4715 0.3709
0.0974 0.0740 0.3351
0.0655 0.1826 0.7323
0.8557 0.8661 0.4650
0.3557 0.1075 0.0788
0.8721 0.4586 0.8518
0.7332 0.0622 0.1920
0.0788 0.3417 0.0971
0.1922 0.4469 0.4620
0.4748 0.8594 0.8673
0.6953 0.6656 0.0696
0.6595 0.0709 0.6666
0.4609 0.2228 0.4542
0.1887 0.7371 0.0537
0.4497 0.4745 0.2054
0.6299 0.4181 0.0550
0.4138 0.0541 0.6236
0.1049 0.4162 0.8638
0.4195 0.8691 0.1014
0.0511 0.6340 0.4120
0.8705 0.1038 0.4176
0.8239 0.8331 0.8188
0.2710 0.2759 0.2704
```

energy: -506.96 eV per cell
magnetic moment: 0.000 μB per formula unit


First-principles (SCAN) data for a crystal of RbTbNiSe3 relaxed with PBEsol, as listed in Alexandria.

Structure (POSCAR):
```
RbTbNiSe3
1.0
3.9971 0.0000 0.0000
-1.9985 7.5497 0.0000
0.0000 0.0000 10.6053
Se Tb Ni Rb
6 2 2 2
Direct
0.3773 0.7546 0.4283
0.0588 0.1175 0.2500
0.6227 0.2454 0.5717
0.9412 0.8825 0.7500
0.6227 0.2454 0.9283
0.3773 0.7546 0.0717
0.0000 0.0000 0.0000
0.0000 0.0000 0.5000
0.4711 0.9421 0.2500
0.5289 0.0579 0.7500
0.7430 0.4861 0.2500
0.2570 0.5139 0.7500
```

E_form (uncorrected): -1.37 eV/atom
magnetic moment: 1.973 μB per formula unit


First-principles (SCAN) data for a crystal of LiFeF3 relaxed with PBEsol, as listed in Alexandria.

Structure (POSCAR):
```
LiFeF3
1.0
-4.9247 -0.0298 2.8575
-3.8752 -5.6932 -1.5295
0.1714 -4.4674 5.4573
F Fe Li
12 4 4
Direct
0.8059 0.2653 0.4586
0.8421 0.2043 0.0433
0.6941 0.5414 0.7347
0.6579 0.9567 0.7957
0.1941 0.7347 0.5414
0.1579 0.7957 0.9567
0.1491 0.1491 0.6652
0.3421 0.0433 0.2043
0.6491 0.6652 0.1491
0.3059 0.4586 0.2653
0.8509 0.8509 0.3348
0.3509 0.3348 0.8509
0.2500 0.0659 0.9341
0.7500 0.2385 0.7615
0.2500 0.7615 0.2385
0.7500 0.9341 0.0659
0.1640 0.2406 0.3806
0.8360 0.7594 0.6194
0.6640 0.3806 0.2406
0.3360 0.6194 0.7594
```

energy relative to the lowest polymorph listed for this composition: 0.31 eV/f.u.
E_form (uncorrected): -2.56 eV/atom
magnetic moment: 4.000 μB per formula unit


First-principles (SCAN) data for a crystal of ScRe2Au relaxed with PBEsol, as listed in Alexandria.

Structure (POSCAR):
```
ScRe2Au
1.0
3.1799 0.0000 0.0000
0.0000 4.3617 0.0000
-1.5900 -2.1808 4.6716
Re Sc Au
2 1 1
Direct
0.7508 0.7508 0.5015
0.2492 0.2492 0.4985
0.0000 0.5000 0.0000
0.5000 0.0000 0.0000
```

energy relative to the lowest polymorph listed for this composition: 0.14 eV/f.u.
energy of formation from the pure elements: 84.9 meV/atom
magnetic moment: 0.000 μB per formula unit


First-principles (SCAN) data for a crystal of LiMnOs3 relaxed with PBEsol, as listed in Alexandria.

Structure (POSCAR):
```
LiMnOs3
1.0
4.3879 0.0000 0.0000
0.0000 4.3879 0.0000
0.0000 0.0000 4.3879
Os Li Mn
3 1 1
Direct
0.0000 0.0000 0.5000
0.0000 0.5000 0.0000
0.5000 0.0000 0.0000
0.5000 0.5000 0.5000
0.0000 0.0000 0.0000
```

energy of formation from the pure elements: 1587.5 meV/atom
magnetic moment: 0.001 μB per formula unit


First-principles (SCAN) data for a crystal of Lu3TlC relaxed with PBEsol, as listed in Alexandria.

Structure (POSCAR):
```
Lu3TlC
1.0
4.7161 0.0000 0.0000
0.0000 4.7161 0.0000
0.0000 0.0000 4.7161
Lu C Tl
3 1 1
Direct
0.5000 0.0000 0.5000
0.5000 0.5000 0.0000
0.0000 0.5000 0.5000
0.5000 0.5000 0.5000
0.0000 0.0000 0.0000
```

energy of formation from the pure elements: -727.8 meV/atom
magnetic moment: 0.000 μB per formula unit


First-principles (SCAN) data for a crystal of Sr2NbN3 relaxed with PBEsol, as listed in Alexandria.

Structure (POSCAR):
```
Sr2NbN3
1.0
-0.3897 5.9121 -0.9741
-4.6295 2.1215 -3.7777
-7.5837 1.7163 9.7850
Sr N Nb
8 12 4
Direct
0.1568 0.2308 0.4224
0.3876 0.7692 0.9224
0.5372 0.4048 0.6422
0.8432 0.7692 0.5776
0.9420 0.5952 0.1422
0.4628 0.5952 0.3578
0.6124 0.2308 0.0776
0.0580 0.4048 0.8578
0.7988 0.8136 0.9609
0.6124 0.1864 0.4609
0.0932 0.8137 0.7500
0.3229 0.6740 0.1232
0.0031 0.6740 0.3768
0.5045 0.9910 0.2500
0.9969 0.3260 0.6232
0.6771 0.3260 0.8768
0.4955 0.0091 0.7500
0.9068 0.1863 0.2500
0.3876 0.8136 0.5391
0.2012 0.1864 0.0391
0.2298 0.0027 0.6634
0.7702 0.9973 0.3366
0.2325 0.9973 0.1634
0.7675 0.0027 0.8366
```

E_form (uncorrected): -1.26 eV/atom
magnetic moment: 0.000 μB per formula unit


First-principles (SCAN) data for a crystal of CdNiAg relaxed with PBEsol, as listed in Alexandria.

Structure (POSCAR):
```
CdNiAg
1.0
-4.1972 0.0678 -0.3474
-2.2697 -3.3256 1.2373
-2.3955 0.2529 3.4554
Ag Cd Ni
1 1 1
Direct
0.0000 0.0000 0.0000
0.5000 0.5000 0.5000
0.7500 0.7500 0.7500
```

energy relative to the lowest polymorph listed for this composition: 0.41 eV/f.u.
energy of formation from the pure elements: 335.2 meV/atom
magnetic moment: 0.000 μB per formula unit


First-principles (SCAN) data for a crystal of TiCuHg3 relaxed with PBEsol, as listed in Alexandria.

Structure (POSCAR):
```
TiCuHg3
1.0
-3.0372 1.8534 3.2273
-1.9052 -4.3527 0.7067
3.1970 -0.8332 3.4871
Hg Ti Cu
3 1 1
Direct
0.5000 0.0000 0.0000
0.0000 0.0000 0.5000
0.0000 0.5000 0.0000
0.5000 0.5000 0.5000
0.0000 0.0000 0.0000
```

energy of formation from the pure elements: 490.8 meV/atom
magnetic moment: 2.214 μB per formula unit


First-principles (SCAN) data for a crystal of ScRu3N relaxed with PBEsol, as listed in Alexandria.

Structure (POSCAR):
```
ScRu3N
1.0
4.0198 0.0000 0.0000
0.0000 4.0198 0.0000
0.0000 0.0000 4.0198
Ru Sc N
3 1 1
Direct
0.0000 0.5000 0.0000
0.5000 0.0000 0.0000
0.0000 0.0000 0.5000
0.5000 0.5000 0.5000
0.0000 0.0000 0.0000
```

E_form (uncorrected): -0.33 eV/atom
magnetic moment: 0.000 μB per formula unit


First-principles (SCAN) data for a crystal of Ba2SrLiTi relaxed with PBEsol, as listed in Alexandria.

Structure (POSCAR):
```
Ba2SrLiTi
1.0
-1.3931 5.8101 -1.0643
-3.5693 0.0432 4.9080
4.6839 1.7442 3.3909
Ba Sr Li Ti
2 1 1 1
Direct
0.0000 0.5000 0.0000
0.5000 0.0000 0.0000
0.0000 0.0000 0.5000
0.0000 0.0000 0.0000
0.5000 0.5000 0.5000
```

energy of formation from the pure elements: 705.4 meV/atom
magnetic moment: 3.763 μB per formula unit


First-principles (SCAN) data for a crystal of TlHg5 relaxed with PBEsol, as listed in Alexandria.

Structure (POSCAR):
```
TlHg5
1.0
3.4155 0.0000 0.0000
-1.7078 5.8695 -0.0341
0.0000 -2.1474 7.3520
Hg Tl
5 1
Direct
0.0492 0.0983 0.5886
0.3463 0.6927 0.6743
0.0006 0.0013 0.0198
0.3842 0.7685 0.2726
0.6741 0.3483 0.3488
0.7121 0.4243 0.9293
```

energy relative to the lowest polymorph listed for this composition: 0.03 eV/f.u.
energy of formation from the pure elements: -14.6 meV/atom
magnetic moment: 0.000 μB per formula unit


First-principles (SCAN) data for a crystal of H2Rh2W relaxed with PBEsol, as listed in Alexandria.

Structure (POSCAR):
```
H2Rh2W
1.0
-0.4599 2.4494 -1.2595
-2.7469 -0.5009 0.0288
1.1589 1.7808 6.1355
H Rh W
2 2 1
Direct
0.7500 0.2500 0.5000
0.2500 0.7500 0.5000
0.3503 0.3503 0.7007
0.6497 0.6497 0.2993
0.0000 0.0000 0.0000
```

energy: -144.56 eV per cell
magnetic moment: 0.000 μB per formula unit


First-principles (SCAN) data for a crystal of SrAsPd3 relaxed with PBEsol, as listed in Alexandria.

Structure (POSCAR):
```
SrAsPd3
1.0
4.7172 0.0000 0.0000
0.0000 4.7172 0.0000
0.0000 0.0000 4.7172
Pd As Sr
3 1 1
Direct
0.5000 0.0000 0.0000
0.0000 0.0000 0.5000
0.0000 0.5000 0.0000
0.0000 0.0000 0.0000
0.5000 0.5000 0.5000
```

energy of formation from the pure elements: -600.1 meV/atom
magnetic moment: 0.000 μB per formula unit


First-principles (SCAN) data for a crystal of Hg2Pd2Rh relaxed with PBEsol, as listed in Alexandria.

Structure (POSCAR):
```
Hg2Pd2Rh
1.0
-3.6833 -3.0044 0.3002
2.9928 -3.5701 0.9900
-0.4245 1.0141 4.9399
Pd Hg Rh
2 2 1
Direct
0.0000 0.5000 0.0000
0.5000 0.0000 0.0000
0.0000 0.0000 0.5000
0.5000 0.5000 0.5000
0.0000 0.0000 0.0000
```

energy of formation from the pure elements: 825.9 meV/atom
magnetic moment: 1.662 μB per formula unit


First-principles (SCAN) data for a crystal of Y2ZrCo relaxed with PBEsol, as listed in Alexandria.

Structure (POSCAR):
```
Y2ZrCo
1.0
4.1111 0.0000 0.0000
0.0000 4.1111 0.0000
-2.0555 -2.0555 5.0837
Zr Y Co
1 2 1
Direct
0.5000 0.5000 0.0000
0.7500 0.2500 0.5000
0.0000 0.0000 0.0000
0.2500 0.7500 0.5000
```

energy relative to the lowest polymorph listed for this composition: 0.07 eV/f.u.
energy of formation from the pure elements: 367.4 meV/atom
magnetic moment: 1.198 μB per formula unit


First-principles (SCAN) data for a crystal of TiAgPS2 relaxed with PBEsol, as listed in Alexandria.

Structure (POSCAR):
```
TiAgPS2
1.0
-0.5587 -4.5853 0.5789
3.5798 -0.0575 2.9995
-2.9472 0.8051 3.5328
Ti S P Ag
1 2 1 1
Direct
0.5000 0.5000 0.5000
0.0000 0.5000 0.0000
0.0000 0.0000 0.5000
0.5000 0.0000 0.0000
0.0000 0.0000 0.0000
```

E_form (uncorrected): 0.68 eV/atom
magnetic moment: 0.548 μB per formula unit


First-principles (SCAN) data for a crystal of NaCrSn2Pb relaxed with PBEsol, as listed in Alexandria.

Structure (POSCAR):
```
NaCrSn2Pb
1.0
-4.8804 -0.0509 0.8623
-0.7612 -2.7379 -4.4699
0.5223 -4.5340 2.6882
Pb Na Sn Cr
1 1 2 1
Direct
0.5000 0.5000 0.5000
0.0000 0.0000 0.0000
0.0000 0.5000 0.0000
0.0000 0.0000 0.5000
0.5000 0.0000 0.0000
```

energy of formation from the pure elements: 789.4 meV/atom
magnetic moment: 4.666 μB per formula unit


First-principles (SCAN) data for a crystal of Li4Co3Cu3W2O16 relaxed with PBEsol, as listed in Alexandria.

Structure (POSCAR):
```
Li4Co3Cu3W2O16
1.0
5.6787 0.0000 0.0000
-2.8394 5.0759 0.0026
0.0000 -0.6904 9.4198
O Cu Li Co W
16 3 4 3 2
Direct
0.4506 0.4701 0.3565
0.4662 0.9323 0.3548
0.8445 0.6890 0.0736
0.6617 0.8397 0.5883
0.3222 0.6443 0.1222
0.5238 0.0477 0.8307
0.6587 0.3175 0.6183
0.0106 0.0212 0.8011
0.1780 0.8397 0.5883
0.8559 0.2149 0.0883
0.0195 0.4701 0.3565
0.0086 0.0172 0.2958
0.1660 0.3321 0.6078
0.5043 0.4698 0.8425
0.3590 0.2149 0.0883
0.9655 0.4698 0.8425
0.8342 0.6685 0.7130
0.1719 0.8338 0.2122
0.6619 0.8338 0.2122
0.3327 0.6654 0.9037
0.0116 0.0232 0.9909
0.9999 0.9998 0.4874
0.6483 0.2966 0.4094
0.3388 0.1729 0.7132
0.1691 0.3382 0.2165
0.8342 0.1729 0.7132
0.3214 0.6427 0.4924
0.6732 0.3463 0.9869
```

E_form (uncorrected): -1.70 eV/atom
magnetic moment: 3.090 μB per formula unit